Record 1
VASP calculation (PBE) on an optimized crystal structure of CaIrSCl2.

a = 4.7854 Å, b = 4.7854 Å, c = 4.8352 Å
α = 90.00°, β = 90.00°, γ = 90.00°
Fractional positions:
Ir (0.0000, 0.0000, 0.0000)
Cl (0.0000, 0.5000, 0.0000)
Ca (0.5000, 0.5000, 0.5000)
S (0.0000, 0.0000, 0.5000)
Cl (0.5000, 0.0000, 0.0000)

E above lowest polymorph, eV/atom: 0.0000
Symmetry: No. 123



Record 2
VASP calculation (PBE) on an optimized crystal structure of Ca2IrSCl.

a = 5.4667 Å, b = 4.3008 Å, c = 5.4667 Å
α = 90.00°, β = 90.00°, γ = 90.00°
Fractional positions:
Ir (0.0000, 0.5000, 0.0000)
S (0.0000, 0.0000, 0.0000)
Ca (0.0000, 0.0000, 0.5000)
Ca (0.5000, 0.0000, 0.0000)
Cl (0.5000, 0.5000, 0.5000)

Symmetry: No. 123



Record 3
VASP calculation (PBE) on an optimized crystal structure of CaIrS2Cl.

a = 5.2499 Å, b = 5.2499 Å, c = 5.0244 Å
α = 90.00°, β = 90.00°, γ = 90.00°
Each line ends with the local moment (μB).
Fractional positions:
Cl (0.0000, 0.0000, 0.5000)  0.14
S (0.0000, 0.5000, 0.0000)  0.35
S (0.5000, 0.0000, 0.0000)  0.35
Ca (0.0000, 0.0000, 0.0000)  0.00
Ir (0.5000, 0.5000, 0.5000)  2.20

E above lowest polymorph, eV/atom: 1.3005
Symmetry: No. 123



Computed total energy, in the same sequence as the records: -21.892 -23.388 -17.225 eV/cell.